MnGe2BO6: optimized geometry, PBE with a Hubbard U.

Properties
* total DFT energy (no corrections): -69.34 eV per formula unit
* size of the total moment: 0.50 μB per atom

The structure in CIF format:
```
data_MnGe2BO6
_cell_length_a 10.230
_cell_length_b 9.813
_cell_length_c 5.478
_cell_angle_alpha 90.00
_cell_angle_beta 114.82
_cell_angle_gamma 90.00
_symmetry_space_group_name_H-M 'C 1 2/c 1'
_symmetry_Int_Tables_number 15
loop_
_symmetry_equiv_pos_as_xyz
'x,y,z'
'-x,-y,-z'
'-x,y,-z+1/2'
'x,-y,z+1/2'
'x+1/2,y+1/2,z'
'-x+1/2,-y+1/2,-z'
'-x+1/2,y+1/2,-z+1/2'
'x+1/2,-y+1/2,z+1/2'
loop_
_atom_site_label
_atom_site_type_symbol
_atom_site_fract_x
_atom_site_fract_y
_atom_site_fract_z
Mn1 Mn 0.000 0.121 0.250
Ge1 Ge 0.192 0.409 0.139
B1 B 0.000 0.183 0.750
O1 O 0.077 0.254 0.008
O2 O 0.102 0.091 0.690
O3 O 0.160 0.439 0.435
```